# 1
# PBE In3Pd3Se8, relaxed
# Calculated volume: 25.0 Å³ per atom
# Calculated total energy: -4.064 eV/atom
# Symmetry: R-3m (166)
data_In3Pd3Se8
_symmetry_space_group_name_H-M 'P 1'
_symmetry_Int_Tables_number 1
_cell_length_a 7.926
_cell_length_b 7.926
_cell_length_c 7.926
_cell_angle_alpha 59.67
_cell_angle_beta 59.67
_cell_angle_gamma 59.67
loop_
_symmetry_equiv_pos_as_xyz
'x,y,z'
loop_
_atom_site_label
_atom_site_type_symbol
_atom_site_fract_x
_atom_site_fract_y
_atom_site_fract_z
Pd1 Pd 0.500 0.000 0.000
Pd2 Pd 0.000 0.500 0.000
Pd3 Pd 0.000 0.000 0.500
Se1 Se 0.754 0.209 0.754
Se2 Se 0.767 0.767 0.767
Se3 Se 0.246 0.791 0.246
Se4 Se 0.754 0.754 0.209
Se5 Se 0.246 0.246 0.791
Se6 Se 0.233 0.233 0.233
Se7 Se 0.791 0.246 0.246
Se8 Se 0.209 0.754 0.754
In1 In 0.371 0.371 0.371
In2 In 0.629 0.629 0.629
In3 In 0.000 0.000 0.000


# 2
# PBE InPd8Se2, relaxed
# Calculated volume: 16.7 Å³ per atom
# Calculated total energy: -4.914 eV/atom
# Symmetry: P1 (1)
data_InPd8Se2
_symmetry_space_group_name_H-M 'P 1'
_symmetry_Int_Tables_number 1
_cell_length_a 4.826
_cell_length_b 5.975
_cell_length_c 7.339
_cell_angle_alpha 111.14
_cell_angle_beta 105.64
_cell_angle_gamma 98.20
loop_
_symmetry_equiv_pos_as_xyz
'x,y,z'
loop_
_atom_site_label
_atom_site_type_symbol
_atom_site_fract_x
_atom_site_fract_y
_atom_site_fract_z
Pd1 Pd 0.294 0.496 0.908
Pd2 Pd 0.286 0.351 0.254
Pd3 Pd 0.728 0.993 0.142
Pd4 Pd 0.896 0.462 0.515
Pd5 Pd 0.768 0.267 0.910
Pd6 Pd 0.942 0.009 0.565
Pd7 Pd 0.288 0.853 0.302
Pd8 Pd 0.496 0.760 0.676
Se1 Se 0.751 0.612 0.230
Se2 Se 0.434 0.289 0.588
In1 In 0.117 0.909 0.909


# 3
# PBE In3PdSe, relaxed
# Calculated volume: 27.8 Å³ per atom
# Calculated total energy: -3.584 eV/atom
# Symmetry: Pm-3m (221)
data_In3PdSe
_symmetry_space_group_name_H-M 'P 1'
_symmetry_Int_Tables_number 1
_cell_length_a 5.181
_cell_length_b 5.181
_cell_length_c 5.181
_cell_angle_alpha 90.00
_cell_angle_beta 90.00
_cell_angle_gamma 90.00
loop_
_symmetry_equiv_pos_as_xyz
'x,y,z'
loop_
_atom_site_label
_atom_site_type_symbol
_atom_site_fract_x
_atom_site_fract_y
_atom_site_fract_z
In1 In 0.500 0.000 0.000
In2 In 0.000 0.500 0.000
In3 In 0.000 0.000 0.500
Pd1 Pd 0.000 0.000 0.000
Se1 Se 0.500 0.500 0.500


| no. | theoretical density (g cm⁻³) |
| --- | --- |
| 1 | 6.16 |
| 2 | 10.19 |
| 3 | 6.32 |